(1)
Compound: VBi2TeOs
Source: Alexandria
Functional: GGA-PBE
Structure: optimized geometry

Its formation energy without anion corrections is 1.97 eV per atom.

It has space group P4/mmm (No. 123), with a = 5.821 Å, b = 5.821 Å, c = 4.797 Å, α = 90.00°, β = 90.00° and γ = 90.00°. The distinct sites, in fractional coordinates, are V at (0.000, 0.000, 0.000), Bi at (0.000, 0.500, 0.500), Te at (0.500, 0.500, 0.500) and Os at (0.500, 0.500, 0.000).

=====

(2)
Compound: Sr3Sn2Hg7
Source: Alexandria
Functional: GGA-PBE
Structure: optimized geometry

The calculation puts the formation energy at -364 meV per atom.

It has space group P2/m (No. 10), with a = 4.991 Å, b = 4.793 Å, c = 15.209 Å, α = 90.00°, β = 98.82° and γ = 90.00°. The distinct sites, in fractional coordinates, are Sr at (0.000, 0.000, 0.000), Sr at (0.330, 0.500, 0.651), Sn at (0.128, 0.000, 0.268), Hg at (0.073, 0.500, 0.151), Hg at (0.230, 0.000, 0.457), Hg at (0.427, 0.000, 0.847) and Hg at (0.500, 0.500, 0.000).

=====

> Number 1 is which compound?

VBi2TeOs